(1)
Computed, not measured: an optimized crystal structure of LiTbGa2 at the PBE level of DFT.

Results
**Excess energy over the best structure of this formula in the dataset**: 0.039 eV per atom

```
data_LiTbGa2
_space_group_name_H-M_alt 'P n m a'
_space_group_IT_number 62
_cell_length_a 7.332
_cell_length_b 3.806
_cell_length_c 11.602
_cell_angle_alpha 90.00
_cell_angle_beta 90.00
_cell_angle_gamma 90.00
loop_
_space_group_symop_operation_xyz
'x,y,z'
'-x,-y,-z'
'-x+1/2,-y,z+1/2'
'x+1/2,y,-z+1/2'
'x+1/2,-y+1/2,-z+1/2'
'-x+1/2,y+1/2,z+1/2'
'-x,y+1/2,-z'
'x,-y+1/2,z'
loop_
_atom_site_label
_atom_site_fract_x
_atom_site_fract_y
_atom_site_fract_z
Li1 0.118 0.250 0.046
Tb1 0.140 0.250 0.360
Ga1 0.033 0.250 0.829
Ga2 0.187 0.250 0.634
```

(2)
Computed, not measured: an optimized crystal structure of LiTb3Ga3 at the PBE level of DFT.

Results
**DFT total energy**: -4.06 eV/atom

```
data_LiTb3Ga3
_space_group_name_H-M_alt 'C 1 2/m 1'
_space_group_IT_number 12
_cell_length_a 10.790
_cell_length_b 4.406
_cell_length_c 14.444
_cell_angle_alpha 90.00
_cell_angle_beta 110.45
_cell_angle_gamma 90.00
loop_
_space_group_symop_operation_xyz
'x,y,z'
'-x,-y,-z'
'-x,y,-z'
'x,-y,z'
'x+1/2,y+1/2,z'
'-x+1/2,-y+1/2,-z'
'-x+1/2,y+1/2,-z'
'x+1/2,-y+1/2,z'
loop_
_atom_site_label
_atom_site_fract_x
_atom_site_fract_y
_atom_site_fract_z
Li1 0.244 0.000 0.405
Tb1 0.036 0.500 0.380
Tb2 0.103 0.500 0.924
Tb3 0.244 0.500 0.222
Ga1 0.034 0.000 0.230
Ga2 0.112 0.000 0.075
Ga3 0.124 0.000 0.551
```

(3)
Computed, not measured: an optimized crystal structure of LiTb4Ga3 at the PBE level of DFT.

Results
**DFT total energy**: -4.16 eV/atom

```
data_LiTb4Ga3
_space_group_name_H-M_alt 'R -3 m'
_space_group_IT_number 166
_space_group_name_Hall '-R 3 2"'
_cell_length_a 5.0919
_cell_length_b 5.0919
_cell_length_c 25.0754
_cell_angle_alpha 90.00
_cell_angle_beta 90.00
_cell_angle_gamma 120.00
loop_
_atom_site_label
_atom_site_fract_x
_atom_site_fract_y
_atom_site_fract_z
Li1 0.0000 0.0000 0.0000
Tb1 0.0000 0.0000 0.1272
Tb2 0.0000 0.0000 0.3787
Ga1 0.0000 0.0000 0.2577
Ga2 0.0000 0.0000 0.5000
```

Result set for Fermi-level density of states: 5.727, 22.581, 19.858 states/eV per cell, one per record in the order listed.